Record 1
TcRhAu: optimized geometry, PBE.

Values from the calculation:
Its space group is No. 44. The value obtained for the formation energy is 3.4 kcal/mol of atoms. Its energy is -6.8497 eV per atom. For the energy relative to the lowest polymorph listed for this composition, the calculation gives 0.1589 eV/atom.

a b c (Å): 2.805 3.883 8.478
angles (deg): 90.00 90.00 90.00
Fractional positions:
Tc 0.000 0.000 0.000
Tc 0.500 0.500 0.500
Rh 0.000 0.000 0.354
Rh 0.500 0.500 0.854
Au 0.000 0.000 0.676
Au 0.500 0.500 0.176



Record 2
TbDy2Pb3: optimized geometry, PBE.

Values from the calculation:
Its space group is No. 15. The value obtained for the formation energy is -10.8 kcal/mol of atoms. Its energy is -4.6275 eV per atom. For the energy relative to the lowest polymorph listed for this composition, the calculation gives 0.0338 eV/atom.

a b c (Å): 9.088 9.088 6.413
angles (deg): 100.01 100.01 41.28
Fractional positions:
Tb 0.120 0.880 0.750
Tb 0.880 0.120 0.250
Dy 0.214 0.452 0.404
Dy 0.452 0.214 0.904
Dy 0.548 0.786 0.096
Dy 0.786 0.548 0.596
Pb 0.055 0.277 0.077
Pb 0.277 0.055 0.577
Pb 0.383 0.617 0.250
Pb 0.617 0.383 0.750
Pb 0.723 0.945 0.423
Pb 0.945 0.723 0.923



Record 3
BeFe: optimized geometry, PBE.

Values from the calculation:
Its space group is No. 11. The value obtained for the formation energy is -3.6 kcal/mol of atoms. Its energy is -6.2518 eV per atom.

a b c (Å): 2.449 3.680 4.237
angles (deg): 90.00 99.29 90.00
Fractional positions:
Be 0.015 0.250 0.143
Be 0.985 0.750 0.857
Fe 0.399 0.250 0.663
Fe 0.601 0.750 0.337



Record 4
LaY3Er2: optimized geometry, PBE.

Values from the calculation:
Its space group is No. 63. The value obtained for the formation energy is 0.5 kcal/mol of atoms. Its energy is -5.5506 eV per atom.

a b c (Å): 9.525 9.525 11.614
angles (deg): 90.00 90.00 158.21
Fractional positions:
La 0.221 0.779 0.750
La 0.779 0.221 0.250
Y 0.107 0.893 0.250
Y 0.335 0.665 0.503
Y 0.335 0.665 0.997
Y 0.665 0.335 0.003
Y 0.665 0.335 0.497
Y 0.893 0.107 0.750
Er 0.000 0.000 0.000
Er 0.000 0.000 0.500
Er 0.446 0.554 0.250
Er 0.554 0.446 0.750



Record 5
SnTe2Au: optimized geometry, PBE.

Values from the calculation:
Its space group is No. 1. Its energy is -3.4464 eV per atom. As for the raw formation energy: -55.5 meV per atom.

a b c (Å): 4.501 4.879 7.750
angles (deg): 73.54 73.16 62.55
Fractional positions:
Sn 0.000 0.000 0.000
Te 0.370 0.407 0.852
Te 0.848 0.914 0.393
Au 0.524 0.535 0.419



Record 6
Nb3BAu: optimized geometry, PBE.

Values from the calculation:
Its space group is No. 221. The value obtained for the formation energy is 54.3 kcal/mol of atoms. Its energy is -5.6789 eV per atom. For the energy relative to the lowest polymorph listed for this composition, the calculation gives 2.4427 eV/atom.

a b c (Å): 4.929 4.929 4.929
angles (deg): 90.00 90.00 90.00
Fractional positions:
Nb 0.000 0.000 0.500
Nb 0.000 0.500 0.000
Nb 0.500 0.000 0.000
B 0.500 0.500 0.500
Au 0.000 0.000 0.000



Record 7
Cs2AcPrS4: optimized geometry, PBE.

Values from the calculation:
Its space group is No. 10. Its energy is -5.2215 eV per atom. As for the raw formation energy: -1833.4 meV per atom.

a b c (Å): 7.605 4.390 8.498
angles (deg): 90.00 107.29 90.00
Fractional positions:
Cs 0.000 0.000 0.000
Cs 0.500 0.500 0.000
Ac 0.000 0.500 0.500
Pr 0.500 0.000 0.500
S 0.239 0.000 0.691
S 0.279 0.500 0.312
S 0.721 0.500 0.688
S 0.761 0.000 0.309



Record 8
ScGaI4: optimized geometry, PBE.

Values from the calculation:
Its space group is No. 12. Its energy is -3.5225 eV per atom. As for the raw formation energy: -929.4 meV per atom.

a b c (Å): 16.518 4.290 8.014
angles (deg): 90.00 115.74 90.00
Fractional positions:
Sc 0.000 0.000 0.000
Sc 0.500 0.500 0.000
Ga 0.000 0.500 0.500
Ga 0.500 0.000 0.500
I 0.112 0.500 0.248
I 0.113 0.000 0.816
I 0.387 0.500 0.184
I 0.388 0.000 0.752
I 0.612 0.000 0.248
I 0.613 0.500 0.816
I 0.887 0.000 0.184
I 0.888 0.500 0.752



Record 9
BiRhSe2: optimized geometry, PBE.

Values from the calculation:
Its space group is No. 1. Its energy is -4.7867 eV per atom. As for the raw formation energy: -236.4 meV per atom.

a b c (Å): 3.869 6.455 8.110
angles (deg): 77.16 76.28 72.60
Fractional positions:
Bi 0.000 0.000 0.000
Bi 0.382 0.879 0.357
Rh 0.729 0.204 0.340
Rh 0.949 0.395 0.710
Se 0.080 0.449 0.393
Se 0.313 0.663 0.714
Se 0.599 0.139 0.664
Se 0.758 0.439 0.043



Record 10
CeY2Hg3: optimized geometry, PBE.

Values from the calculation:
Its space group is No. 123. The value obtained for the formation energy is -10.0 kcal/mol of atoms. Its energy is -3.7302 eV per atom.

a b c (Å): 3.724 3.724 11.525
angles (deg): 90.00 90.00 90.00
Fractional positions:
Ce 0.000 0.000 0.000
Y 0.000 0.000 0.338
Y 0.000 0.000 0.662
Hg 0.500 0.500 0.180
Hg 0.500 0.500 0.500
Hg 0.500 0.500 0.820